The following is a DFT calculation (GGA-PBE) of crystalline Tb3CuGeSe7 at its relaxed geometry.

Its density is 6.79 g/cm3. For the total DFT energy (no corrections), the calculation gives -0.190 hartree per atom.

It has space group P6_3 (No. 173), with a = 10.3758 Å, b = 10.3758 Å, c = 6.1110 Å, α = 90.00°, β = 90.00° and γ = 120.00°. Symmetry generates all atoms from Tb at (0.1348, 0.3560, 0.0000), Cu at (0.0000, 0.0000, 0.4520), Ge at (0.3333, 0.6667, 0.5829), Se at (0.0933, 0.5760, 0.7497), Se at (0.1013, 0.2616, 0.4673) and Se at (0.3333, 0.6667, 0.1969).

The following is a DFT calculation (GGA-PBE) of crystalline NpBPd at its relaxed geometry.

Its density is 11.58 g/cm3. The calculation puts the offset from the most stable computed form at 0.0 meV per atom.

It has space group F-43m (No. 216), with a = 5.8784 Å, b = 5.8784 Å, c = 5.8784 Å, α = 90.00°, β = 90.00° and γ = 90.00°. Symmetry generates all atoms from Np at (0.0000, 0.0000, 0.0000), B at (0.2500, 0.2500, 0.2500) and Pd at (0.0000, 0.0000, 0.5000).

The following is a DFT calculation (GGA-PBE) of crystalline RbTbPtSe3 at its relaxed geometry.

Its density is 6.48 g/cm3. For the total DFT energy (no corrections), the calculation gives -0.177 hartree per atom.

It has space group Cmcm (No. 63), with a = 4.0969 Å, b = 16.5645 Å, c = 10.2082 Å, α = 90.00°, β = 90.00° and γ = 90.00°. Symmetry generates all atoms from Rb at (0.0000, 0.2449, 0.2500), Tb at (0.0000, 0.0000, 0.0000), Pt at (0.0000, 0.4928, 0.7500), Se at (0.0000, 0.0859, 0.7500) and Se at (0.0000, 0.3856, 0.5764).

The following is a DFT calculation (GGA-PBE) of crystalline HfTaTc2 at its relaxed geometry.

Its density is 13.89 g/cm3. The calculation puts the offset from the most stable computed form at 383.7 meV per atom.

It has space group F-43m (No. 216), with a = 6.4275 Å, b = 6.4275 Å, c = 6.4275 Å, α = 90.00°, β = 90.00° and γ = 90.00°. Symmetry generates all atoms from Hf at (0.0000, 0.0000, 0.0000), Ta at (0.2500, 0.2500, 0.7500), Tc at (0.0000, 0.0000, 0.5000) and Tc at (0.2500, 0.2500, 0.2500).

The following is a DFT calculation (GGA-PBE) of crystalline AcPr at its relaxed geometry.

Its density is 7.50 g/cm3. The calculation puts the offset from the most stable computed form at 0.0 meV per atom.

It has space group P-6m2 (No. 187), with a = 3.8867 Å, b = 3.8867 Å, c = 6.2299 Å, α = 90.00°, β = 90.00° and γ = 120.00°. Symmetry generates all atoms from Ac at (0.0000, 0.0000, 0.0000) and Pr at (0.6667, 0.3333, 0.5000).

The following is a DFT calculation (GGA-PBE) of crystalline AgAsOsO at its relaxed geometry.

Its density is 9.93 g/cm3. The calculation puts the offset from the most stable computed form at 245.4 meV per atom.

It has space group P4/nmm (No. 129, origin choice 2), with a = 4.0020 Å, b = 4.0020 Å, c = 8.1267 Å, α = 90.00°, β = 90.00° and γ = 90.00°. Symmetry generates all atoms from Ag at (0.2500, 0.2500, 0.1009), As at (0.2500, 0.2500, 0.6840), Os at (0.2500, 0.7500, 0.5000) and O at (0.2500, 0.7500, 0.0000).

The following is a DFT calculation (GGA-PBE) of crystalline NaLiPaTe3 at its relaxed geometry.

Its density is 5.77 g/cm3. For the total DFT energy (no corrections), the calculation gives -0.169 hartree per atom.

It has space group Cmcm (No. 63), with a = 4.4311 Å, b = 14.3966 Å, c = 11.6085 Å, α = 90.00°, β = 90.00° and γ = 90.00°. Symmetry generates all atoms from Na at (0.0000, 0.2445, 0.2500), Li at (0.0000, 0.4770, 0.7500), Pa at (0.0000, 0.0000, 0.0000), Te at (0.0000, 0.0851, 0.7500) and Te at (0.0000, 0.3615, 0.5648).

The following is a DFT calculation (GGA-PBE) of crystalline Y2CdSn at its relaxed geometry.

Its density is 6.30 g/cm3. For the total DFT energy (no corrections), the calculation gives -0.164 hartree per atom.

It has space group F-43m (No. 216), with a = 7.5532 Å, b = 7.5532 Å, c = 7.5532 Å, α = 90.00°, β = 90.00° and γ = 90.00°. Symmetry generates all atoms from Y at (0.0000, 0.0000, 0.0000), Y at (0.2500, 0.2500, 0.2500), Cd at (0.2500, 0.2500, 0.7500) and Sn at (0.0000, 0.0000, 0.5000).

The following is a DFT calculation (GGA-PBE) of crystalline LaNpSi at its relaxed geometry.

Its density is 7.71 g/cm3. The calculation puts the offset from the most stable computed form at 0.0 meV per atom.

It has space group F-43m (No. 216), with a = 7.0337 Å, b = 7.0337 Å, c = 7.0337 Å, α = 90.00°, β = 90.00° and γ = 90.00°. Symmetry generates all atoms from La at (0.0000, 0.0000, 0.0000), Np at (0.0000, 0.0000, 0.5000) and Si at (0.2500, 0.2500, 0.2500).

The following is a DFT calculation (GGA-PBE) of crystalline Re4W11 at its relaxed geometry.

Its density is 19.07 g/cm3. The calculation puts the offset from the most stable computed form at 109.5 meV per atom.

It has space group P4_2/mnm (No. 136), with a = 9.7263 Å, b = 9.7263 Å, c = 5.0941 Å, α = 90.00°, β = 90.00° and γ = 90.00°. Symmetry generates all atoms from Re at (0.1848, 0.1848, 0.2465), W at (0.0000, 0.0000, 0.5000), W at (0.0361, 0.6313, 0.0000), W at (0.0638, 0.7406, 0.5000) and W at (0.0997, 0.9003, 0.0000).

The following is a DFT calculation (GGA-PBE) of crystalline Pr5Si2Pb at its relaxed geometry.

Its density is 6.80 g/cm3. For the total DFT energy (no corrections), the calculation gives -0.198 hartree per atom.

It has space group I4/mcm (No. 140), with a = 8.0030 Å, b = 8.0030 Å, c = 14.7553 Å, α = 90.00°, β = 90.00° and γ = 90.00°. Symmetry generates all atoms from Pr at (0.0000, 0.0000, 0.0000), Pr at (0.1734, 0.3266, 0.1376), Si at (0.1186, 0.3814, 0.5000) and Pb at (0.0000, 0.0000, 0.2500).

The following is a DFT calculation (GGA-PBE) of crystalline DyErFe6Ni2B2 at its relaxed geometry.

Its density is 8.72 g/cm3. The calculation puts the offset from the most stable computed form at 0.0 meV per atom.

It has space group P6/mmm (No. 191), with a = 5.0045 Å, b = 5.0045 Å, c = 7.0579 Å, α = 90.00°, β = 90.00° and γ = 120.00°. Symmetry generates all atoms from Dy at (0.0000, 0.0000, 0.0000), Er at (0.0000, 0.0000, 0.5000), Fe at (0.0000, 0.5000, 0.2868), Ni at (0.3333, 0.6667, 0.0000) and B at (0.3333, 0.6667, 0.5000).

The following is a DFT calculation (GGA-PBE) of crystalline NaHoPtSe3 at its relaxed geometry.

Its density is 7.01 g/cm3. For the total DFT energy (no corrections), the calculation gives -0.176 hartree per atom.

It has space group Cmcm (No. 63), with a = 3.9567 Å, b = 14.6105 Å, c = 10.1639 Å, α = 90.00°, β = 90.00° and γ = 90.00°. Symmetry generates all atoms from Na at (0.0000, 0.2309, 0.2500), Ho at (0.0000, 0.0000, 0.0000), Pt at (0.0000, 0.4907, 0.7500), Se at (0.0000, 0.0991, 0.7500) and Se at (0.0000, 0.3680, 0.5762).

The following is a DFT calculation (GGA-PBE) of crystalline SrTePdO at its relaxed geometry.

Its density is 6.55 g/cm3. The calculation puts the offset from the most stable computed form at 116.4 meV per atom.

It has space group P2_12_12_1 (No. 19), with a = 6.3687 Å, b = 6.9378 Å, c = 7.7445 Å, α = 90.00°, β = 90.00° and γ = 90.00°. Symmetry generates all atoms from Sr at (0.1408, 0.0848, 0.4169), Te at (0.0568, 0.6902, 0.6519), Pd at (0.2279, 0.5648, 0.3708) and O at (0.0382, 0.8930, 0.1426).

The following is a DFT calculation (GGA-PBE) of crystalline CdGaFeHg at its relaxed geometry.

Its density is 9.94 g/cm3. The calculation puts the offset from the most stable computed form at 15.9 meV per atom.

It has space group F-43m (No. 216), with a = 6.6429 Å, b = 6.6429 Å, c = 6.6429 Å, α = 90.00°, β = 90.00° and γ = 90.00°. Symmetry generates all atoms from Cd at (0.0000, 0.0000, 0.0000), Ga at (0.0000, 0.0000, 0.5000), Fe at (0.2500, 0.2500, 0.7500) and Hg at (0.2500, 0.2500, 0.2500).

The following is a DFT calculation (GGA-PBE) of crystalline AgBAsO at its relaxed geometry.

Its density is 5.61 g/cm3. The calculation puts the offset from the most stable computed form at 1280.6 meV per atom.

It has space group P4/nmm (No. 129, origin choice 2), with a = 4.0927 Å, b = 4.0927 Å, c = 7.4096 Å, α = 90.00°, β = 90.00° and γ = 90.00°. Symmetry generates all atoms from Ag at (0.2500, 0.2500, 0.0811), B at (0.2500, 0.7500, 0.5000), As at (0.2500, 0.2500, 0.6115) and O at (0.2500, 0.7500, 0.0000).

The following is a DFT calculation (GGA-PBE) of crystalline Sr2Sn4IrPt at its relaxed geometry.

Its density is 8.68 g/cm3. For the total DFT energy (no corrections), the calculation gives -0.181 hartree per atom.

It has space group Amm2 (No. 38), with a = 7.7373 Å, b = 4.4278 Å, c = 11.5794 Å, α = 90.00°, β = 90.00° and γ = 90.00°. Symmetry generates all atoms from Sr at (0.0000, 0.0000, 0.0000), Sr at (0.5000, 0.0000, 0.1275), Sn at (0.2049, 0.0000, 0.7146), Sn at (0.3012, 0.0000, 0.4134), Ir at (0.5000, 0.0000, 0.8525) and Pt at (0.0000, 0.0000, 0.2759).

The following is a DFT calculation (GGA-PBE) of crystalline NaAgTe2OsSe at its relaxed geometry.

Its density is 7.67 g/cm3. For the total DFT energy (no corrections), the calculation gives -0.154 hartree per atom.

It has space group Cmcm (No. 63), with a = 3.9845 Å, b = 13.9454 Å, c = 10.2165 Å, α = 90.00°, β = 90.00° and γ = 90.00°. Symmetry generates all atoms from Na at (0.0000, 0.2376, 0.2500), Ag at (0.0000, 0.4424, 0.7500), Te at (0.0000, 0.3686, 0.5088), Os at (0.0000, 0.0000, 0.0000) and Se at (0.0000, 0.0703, 0.7500).

The following is a DFT calculation (GGA-PBE) of crystalline K2MoAs2S6 at its relaxed geometry.

Its density is 3.11 g/cm3. For the total DFT energy (no corrections), the calculation gives -0.179 hartree per atom.

It has space group P-3 (No. 147), with a = 6.6697 Å, b = 6.6697 Å, c = 7.1598 Å, α = 90.00°, β = 90.00° and γ = 120.00°. Symmetry generates all atoms from K at (0.3333, 0.6667, 0.0877), Mo at (0.0000, 0.0000, 0.5000), As at (0.3333, 0.6667, 0.5518) and S at (0.1057, 0.3292, 0.7111).

The following is a DFT calculation (GGA-PBE) of crystalline LuMgCuSb at its relaxed geometry.

Its density is 7.42 g/cm3. The calculation puts the offset from the most stable computed form at 0.0 meV per atom.

It has space group F-43m (No. 216), with a = 7.0095 Å, b = 7.0095 Å, c = 7.0095 Å, α = 90.00°, β = 90.00° and γ = 90.00°. Symmetry generates all atoms from Lu at (0.0000, 0.0000, 0.0000), Mg at (0.2500, 0.2500, 0.2500), Cu at (0.2500, 0.2500, 0.7500) and Sb at (0.0000, 0.0000, 0.5000).

The following is a DFT calculation (GGA-PBE) of crystalline LiPmAu at its relaxed geometry.

Its density is 7.20 g/cm3. For the total DFT energy (no corrections), the calculation gives -0.123 hartree per atom.

It has space group F-43m (No. 216), with a = 6.8536 Å, b = 6.8536 Å, c = 6.8536 Å, α = 90.00°, β = 90.00° and γ = 90.00°. Symmetry generates all atoms from Li at (0.0000, 0.0000, 0.0000), Pm at (0.2500, 0.2500, 0.7500) and Au at (0.0000, 0.0000, 0.5000).

The following is a DFT calculation (GGA-PBE) of crystalline BaZnNiS3 at its relaxed geometry.

Its density is 4.76 g/cm3. The calculation puts the offset from the most stable computed form at 0.0 meV per atom.

It has space group Cmcm (No. 63), with a = 3.9017 Å, b = 13.4886 Å, c = 9.4830 Å, α = 90.00°, β = 90.00° and γ = 90.00°. Symmetry generates all atoms from Ba at (0.0000, 0.2466, 0.2500), Zn at (0.0000, 0.4721, 0.7500), Ni at (0.0000, 0.0000, 0.0000), S at (0.0000, 0.0664, 0.7500) and S at (0.0000, 0.3795, 0.5452).

The following is a DFT calculation (GGA-PBE) of crystalline LuHg2Ge at its relaxed geometry.

Its density is 11.82 g/cm3. For the total DFT energy (no corrections), the calculation gives -0.095 hartree per atom.

It has space group F-43m (No. 216), with a = 7.1440 Å, b = 7.1440 Å, c = 7.1440 Å, α = 90.00°, β = 90.00° and γ = 90.00°. Symmetry generates all atoms from Lu at (0.0000, 0.0000, 0.0000), Hg at (0.0000, 0.0000, 0.5000), Hg at (0.2500, 0.2500, 0.2500) and Ge at (0.2500, 0.2500, 0.7500).